(1)
# LaEr2Pu

A relaxed LaEr2Pu crystal (GGA-PBE, Alexandria via LeMat-Bulk).

Unit cell a=3.760 b=5.797 c=5.797 alpha=90.00 beta=90.00 gamma=90.00
Last column: magnetic moment on the atom in μB.
Positions (direct):
Er: 0.000 0.000 0.500  0.18
Er: 0.000 0.500 0.000  0.18
La: 0.500 0.500 0.500  -0.03
Pu: 0.500 0.000 0.000  5.59

Calculated values
The value obtained for the electronic total energy is -27.59 eV per cell. The energy relative to the lowest polymorph listed for this composition is 90 meV/atom. The value obtained for the density of states at the Fermi level is 14.8 states/eV per cell. For the formation energy, the calculation gives 0.20 eV per atom.

---

(2)
# LaErPu2

A relaxed LaErPu2 crystal (GGA-PBE, Alexandria via LeMat-Bulk).

Unit cell a=3.448 b=3.448 c=10.027 alpha=90.00 beta=90.00 gamma=90.00
Last column: magnetic moment on the atom in μB.
Positions (direct):
Er: 0.500 0.500 0.500  0.40
La: 0.500 0.500 0.000  0.13
Pu: 0.000 0.000 0.744  5.58
Pu: 0.000 0.000 0.256  5.58

Calculated values
The value obtained for the electronic total energy is -37.37 eV per cell. The energy relative to the lowest polymorph listed for this composition is 0 meV/atom. The value obtained for the density of states at the Fermi level is 13.5 states/eV per cell. For the formation energy, the calculation gives 0.20 eV per atom.

---

(3)
# LaEr2Pu

A relaxed LaEr2Pu crystal (GGA-PBE, Alexandria via LeMat-Bulk).

Unit cell a=5.647 b=5.647 c=5.647 alpha=60.00 beta=60.00 gamma=60.00
Last column: magnetic moment on the atom in μB.
Positions (direct):
Er: 0.250 0.250 0.250  -0.12
Er: 0.750 0.750 0.750  -0.12
La: 0.500 0.500 0.500  0.01
Pu: 0.000 0.000 0.000  -5.50

Calculated values
The value obtained for the electronic total energy is -27.54 eV per cell. The energy relative to the lowest polymorph listed for this composition is 103 meV/atom. The value obtained for the density of states at the Fermi level is 12.4 states/eV per cell. For the formation energy, the calculation gives 0.21 eV per atom.

---

(4)
# La4Er3Pu

A relaxed La4Er3Pu crystal (GGA-PBE, Alexandria via LeMat-Bulk).

Unit cell a=3.497 b=11.629 c=8.915 alpha=130.73 beta=101.31 gamma=90.00
Last column: magnetic moment on the atom in μB.
Positions (direct):
Er: 0.000 0.500 0.000  0.10
Er: 0.768 0.768 0.536  -0.14
Er: 0.232 0.232 0.464  -0.14
Pu: 0.500 0.000 0.000  -5.67
La: 0.629 0.376 0.258  -0.03
La: 0.371 0.624 0.742  -0.03
La: 0.371 0.118 0.742  -0.03
La: 0.629 0.882 0.258  -0.03

Calculated values
The value obtained for the electronic total energy is -46.51 eV per cell. The value obtained for the density of states at the Fermi level is 18.6 states/eV per cell. For the formation energy, the calculation gives 0.15 eV per atom.

---

(5)
# La4Er3PuS8

A relaxed La4Er3PuS8 crystal (GGA-PBE, Alexandria via LeMat-Bulk).

Unit cell a=7.998 b=8.091 c=7.998 alpha=119.62 beta=120.00 gamma=90.00
Last column: magnetic moment on the atom in μB.
Positions (direct):
La: 0.500 0.000 0.000  -0.01
La: 0.500 0.000 0.500  0.01
La: 0.000 0.000 0.000  0.01
La: 0.000 0.000 0.500  0.01
Er: 0.500 0.500 0.000  0.03
Er: 0.500 0.500 0.500  0.03
Er: 0.000 0.500 0.500  0.03
Pu: 0.000 0.500 0.000  5.29
S: 0.245 0.729 0.984  -0.02
S: 0.245 0.729 0.490  -0.02
S: 0.258 0.274 0.516  0.00
S: 0.739 0.729 0.984  -0.02
S: 0.261 0.271 0.016  -0.02
S: 0.742 0.726 0.484  0.00
S: 0.755 0.271 0.510  -0.02
S: 0.755 0.271 0.016  -0.02

Calculated values
The value obtained for the electronic total energy is -113.48 eV per cell. The value obtained for the density of states at the Fermi level is 14.0 states/eV per cell.

---

(6)
# La3ErPu2S6

A relaxed La3ErPu2S6 crystal (GGA-PBE, Alexandria via LeMat-Bulk).

Unit cell a=6.974 b=6.974 c=7.052 alpha=99.47 beta=99.47 gamma=120.01
Last column: magnetic moment on the atom in μB.
Positions (direct):
La: 0.168 0.832 0.500  0.04
La: 0.832 0.168 0.500  0.04
La: 0.500 0.500 0.500  0.04
Er: 0.000 0.000 0.000  0.07
Pu: 0.334 0.666 0.000  5.31
Pu: 0.666 0.334 0.000  5.31
S: 0.923 0.594 0.769  -0.04
S: 0.749 0.749 0.234  -0.04
S: 0.077 0.406 0.231  -0.04
S: 0.594 0.923 0.769  -0.04
S: 0.251 0.251 0.766  -0.04
S: 0.406 0.077 0.231  -0.04

Calculated values
The value obtained for the electronic total energy is -96.80 eV per cell. The value obtained for the density of states at the Fermi level is 16.9 states/eV per cell.

---

The highest electronic total energy belongs to which entry?
number 3